{"formula": "NiS2F", "functional": "PBE with a Hubbard U", "state": "relaxed", "lattice": [[5.2120, 0.0000, 0.0000], [0.0000, 5.2120, 0.0000], [0.0000, 0.0000, 10.2895]], "species": ["Ni", "Ni", "Ni", "Ni", "S", "S", "S", "S", "S", "S", "S", "S", "F", "F", "F", "F"], "frac_coords": [[0.0000, 0.0000, 0.0000], [0.0000, 0.5000, 0.2500], [0.5000, 0.0000, 0.7500], [0.5000, 0.5000, 0.5000], [0.1911, 0.2500, 0.1250], [0.2500, 0.6911, 0.3750], [0.2500, 0.8089, 0.8750], [0.3089, 0.2500, 0.6250], [0.6911, 0.7500, 0.6250], [0.7500, 0.1911, 0.8750], [0.7500, 0.3089, 0.3750], [0.8089, 0.7500, 0.1250], [0.0000, 0.0000, 0.5000], [0.0000, 0.5000, 0.7500], [0.5000, 0.0000, 0.2500], [0.5000, 0.5000, 0.0000]], "de_polymorph_kj_per_mol_fu": 152, "spacegroup": "I-42d", "mass_density_g_cm3": 3.4}